No. 1
The following is a GGA-PBE calculation of an optimized crystal structure of TbEuNiRu, from the Alexandria database.

```
TbEuNiRu
1.0
0.000 3.440 3.440
3.440 0.000 3.440
3.440 3.440 0.000
Tb Eu Ni Ru
1 1 1 1
direct
0.000 0.000 0.000
0.500 0.500 0.500
0.750 0.750 0.750
0.250 0.250 0.250
```

Computed properties:
Uncorrected energy = -7.56 eV/atom
Crystal system = cubic
Formation energy from the elements = -0.07 eV/atom
Density of states at the Fermi level = 9.77 states/eV/f.u.

---

No. 2
The following is a GGA-PBE calculation of an optimized crystal structure of EuNiS2, from the Alexandria database.

```
EuNiS2
1.0
1.780 1.028 7.868
-1.780 1.028 7.868
0.000 -2.055 7.868
Eu Ni S
1 1 2
direct
0.000 0.000 0.000
0.500 0.500 0.500
0.118 0.118 0.118
0.882 0.882 0.882
```

Computed properties:
Uncorrected energy = -6.47 eV/atom
Crystal system = trigonal
Density of states at the Fermi level = 3.49 states/eV/f.u.
Formation energy without anion corrections = -1.6 eV per formula unit

---

No. 3
The following is a GGA-PBE calculation of an optimized crystal structure of EuNi6S8, from the Alexandria database.

```
EuNi6S8
1.0
4.423 2.554 3.660
-4.423 2.554 3.660
0.000 -5.107 3.660
Eu Ni S
1 6 8
direct
0.000 0.000 0.000
0.191 0.568 0.411
0.411 0.191 0.568
0.432 0.589 0.809
0.568 0.411 0.191
0.589 0.809 0.432
0.809 0.432 0.589
0.152 0.381 0.729
0.257 0.257 0.257
0.271 0.848 0.619
0.381 0.729 0.152
0.619 0.271 0.848
0.729 0.152 0.381
0.743 0.743 0.743
0.848 0.619 0.271
```

Computed properties:
Uncorrected energy = -5.73 eV/atom
Crystal system = trigonal
Density of states at the Fermi level = 16.17 states/eV/f.u.
Formation energy without anion corrections = -8.0 eV per formula unit

---

No. 4
The following is a GGA-PBE calculation of an optimized crystal structure of Eu3Ni5S12, from the Alexandria database.

```
Eu3Ni5S12
1.0
-7.294 7.294 7.294
7.294 -7.294 7.294
7.294 7.294 -7.294
Eu Ni S
12 20 48
direct
0.125 0.250 0.375
0.125 0.375 0.750
0.250 0.375 0.125
0.250 0.875 0.625
0.375 0.125 0.250
0.375 0.750 0.125
0.625 0.250 0.875
0.625 0.875 0.750
0.750 0.125 0.375
0.750 0.625 0.875
0.875 0.625 0.250
0.875 0.750 0.625
0.000 0.000 0.000
0.000 0.000 0.500
0.000 0.500 0.000
0.000 0.500 0.500
0.125 0.750 0.875
0.125 0.875 0.250
0.250 0.125 0.875
0.250 0.625 0.375
0.375 0.250 0.625
0.375 0.625 0.750
0.500 0.000 0.000
0.500 0.000 0.500
0.500 0.500 0.000
0.500 0.500 0.500
0.625 0.375 0.250
0.625 0.750 0.375
0.750 0.375 0.625
0.750 0.875 0.125
0.875 0.125 0.750
0.875 0.250 0.125
0.020 0.198 0.111
0.020 0.322 0.909
0.087 0.698 0.678
0.087 0.889 0.409
0.091 0.611 0.413
0.091 0.980 0.678
0.111 0.020 0.198
0.111 0.591 0.913
0.178 0.198 0.587
0.178 0.480 0.591
0.198 0.111 0.020
0.198 0.587 0.178
0.302 0.322 0.913
0.302 0.480 0.389
0.322 0.909 0.020
0.322 0.913 0.302
0.389 0.302 0.480
0.389 0.587 0.909
0.409 0.087 0.889
0.409 0.822 0.520
0.413 0.091 0.611
0.413 0.822 0.802
0.480 0.389 0.302
0.480 0.591 0.178
0.520 0.409 0.822
0.520 0.611 0.698
0.587 0.178 0.198
0.587 0.909 0.389
0.591 0.178 0.480
0.591 0.913 0.111
0.611 0.413 0.091
0.611 0.698 0.520
0.678 0.087 0.698
0.678 0.091 0.980
0.698 0.520 0.611
0.698 0.678 0.087
0.802 0.413 0.822
0.802 0.889 0.980
0.822 0.520 0.409
0.822 0.802 0.413
0.889 0.409 0.087
0.889 0.980 0.802
0.909 0.020 0.322
0.909 0.389 0.587
0.913 0.111 0.591
0.913 0.302 0.322
0.980 0.678 0.091
0.980 0.802 0.889
```

Computed properties:
Uncorrected energy = -6.15 eV/atom
Crystal system = cubic
Density of states at the Fermi level = 24.47 states/eV/f.u.
Formation energy without anion corrections = -13.8 eV per formula unit

---

No. 5
The following is a GGA-PBE calculation of an optimized crystal structure of Eu2Ni3Sb4, from the Alexandria database.

```
Eu2Ni3Sb4
1.0
4.385 0.000 0.000
0.000 4.385 0.000
0.000 0.000 10.637
Eu Ni Sb
2 3 4
direct
0.000 0.500 0.245
0.500 0.000 0.755
0.000 0.000 0.000
0.000 0.000 0.500
0.500 0.500 0.500
0.000 0.500 0.618
0.000 0.500 0.895
0.500 0.000 0.105
0.500 0.000 0.382
```

Computed properties:
Uncorrected energy = -6.62 eV/atom
Crystal system = tetragonal
Density of states at the Fermi level = 22.74 states/eV/f.u.
Formation energy without anion corrections = -5.2 eV per formula unit

---

No. 6
The following is a GGA-PBE calculation of an optimized crystal structure of EuScNi4, from the Alexandria database.

```
EuScNi4
1.0
0.000 3.550 3.550
3.550 0.000 3.550
3.550 3.550 0.000
Eu Sc Ni
1 1 4
direct
0.000 0.000 0.000
0.750 0.750 0.750
0.376 0.376 0.376
0.376 0.376 0.873
0.376 0.873 0.376
0.873 0.376 0.376
```

Computed properties:
Uncorrected energy = -6.93 eV/atom
Crystal system = cubic
Formation energy from the elements = -0.31 eV/atom
Density of states at the Fermi level = 12.57 states/eV/f.u.

---

No. 7
The following is a GGA-PBE calculation of an optimized crystal structure of EuScNi, from the Alexandria database.

```
EuScNi
1.0
-1.682 1.682 6.083
1.682 -1.682 6.083
1.682 1.682 -6.083
Eu Sc Ni
1 1 1
direct
0.000 0.000 0.000
0.264 0.264 0.000
0.665 0.665 0.000
```

Computed properties:
Uncorrected energy = -7.62 eV/atom
Crystal system = tetragonal
Formation energy from the elements = -0.16 eV/atom
Density of states at the Fermi level = 2.49 states/eV/f.u.

---

No. 8
The following is a GGA-PBE calculation of an optimized crystal structure of EuScZnNi, from the Alexandria database.

```
EuScZnNi
1.0
0.000 3.435 3.435
3.435 0.000 3.435
3.435 3.435 0.000
Eu Sc Zn Ni
1 1 1 1
direct
0.000 0.000 0.000
0.500 0.500 0.500
0.250 0.250 0.250
0.750 0.750 0.750
```

Computed properties:
Uncorrected energy = -6.08 eV/atom
Crystal system = cubic
Formation energy from the elements = -0.16 eV/atom
Density of states at the Fermi level = 5.87 states/eV/f.u.

---

No. 9
The following is a GGA-PBE calculation of an optimized crystal structure of EuNiSe2, from the Alexandria database.

```
EuNiSe2
1.0
1.850 1.068 8.353
-1.850 1.068 8.353
0.000 -2.136 8.353
Eu Ni Se
1 1 2
direct
0.000 0.000 0.000
0.500 0.500 0.500
0.118 0.118 0.118
0.882 0.882 0.882
```

Computed properties:
Uncorrected energy = -6.13 eV/atom
Crystal system = trigonal
Density of states at the Fermi level = 3.07 states/eV/f.u.
Formation energy without anion corrections = -1.5 eV per formula unit

---

No. 10
The following is a GGA-PBE calculation of an optimized crystal structure of Eu3Ni5Se12, from the Alexandria database.

```
Eu3Ni5Se12
1.0
-7.688 7.688 7.688
7.688 -7.688 7.688
7.688 7.688 -7.688
Eu Ni Se
12 20 48
direct
0.125 0.250 0.375
0.125 0.375 0.750
0.250 0.375 0.125
0.250 0.875 0.625
0.375 0.125 0.250
0.375 0.750 0.125
0.625 0.250 0.875
0.625 0.875 0.750
0.750 0.125 0.375
0.750 0.625 0.875
0.875 0.625 0.250
0.875 0.750 0.625
0.000 0.000 0.000
0.000 0.000 0.500
0.000 0.500 0.000
0.000 0.500 0.500
0.125 0.750 0.875
0.125 0.875 0.250
0.250 0.125 0.875
0.250 0.625 0.375
0.375 0.250 0.625
0.375 0.625 0.750
0.500 0.000 0.000
0.500 0.000 0.500
0.500 0.500 0.000
0.500 0.500 0.500
0.625 0.375 0.250
0.625 0.750 0.375
0.750 0.375 0.625
0.750 0.875 0.125
0.875 0.125 0.750
0.875 0.250 0.125
0.021 0.199 0.111
0.021 0.322 0.910
0.088 0.699 0.678
0.088 0.889 0.410
0.090 0.611 0.412
0.090 0.979 0.678
0.111 0.021 0.199
0.111 0.590 0.912
0.178 0.199 0.588
0.178 0.479 0.590
0.199 0.111 0.021
0.199 0.588 0.178
0.301 0.322 0.912
0.301 0.479 0.389
0.322 0.910 0.021
0.322 0.912 0.301
0.389 0.301 0.479
0.389 0.588 0.910
0.410 0.088 0.889
0.410 0.822 0.521
0.412 0.090 0.611
0.412 0.822 0.801
0.479 0.389 0.301
0.479 0.590 0.178
0.521 0.410 0.822
0.521 0.611 0.699
0.588 0.178 0.199
0.588 0.910 0.389
0.590 0.178 0.479
0.590 0.912 0.111
0.611 0.412 0.090
0.611 0.699 0.521
0.678 0.088 0.699
0.678 0.090 0.979
0.699 0.521 0.611
0.699 0.678 0.088
0.801 0.412 0.822
0.801 0.889 0.979
0.822 0.521 0.410
0.822 0.801 0.412
0.889 0.410 0.088
0.889 0.979 0.801
0.910 0.021 0.322
0.910 0.389 0.588
0.912 0.111 0.590
0.912 0.301 0.322
0.979 0.678 0.090
0.979 0.801 0.889
```

Computed properties:
Uncorrected energy = -5.71 eV/atom
Crystal system = cubic
Density of states at the Fermi level = 23.43 states/eV/f.u.
Formation energy without anion corrections = -12.7 eV per formula unit

---

No. 11
The following is a GGA-PBE calculation of an optimized crystal structure of EuSi3Ni, from the Alexandria database.

```
EuSi3Ni
1.0
-2.072 2.072 4.814
2.072 -2.072 4.814
2.072 2.072 -4.814
Eu Si Ni
1 3 1
direct
0.000 0.000 0.000
0.245 0.745 0.500
0.589 0.589 0.000
0.745 0.245 0.500
0.350 0.350 0.000
```

Computed properties:
Uncorrected energy = -7.04 eV/atom
Crystal system = tetragonal
Density of states at the Fermi level = 1.69 states/eV/f.u.
Formation energy without anion corrections = -2.9 eV per formula unit

---

No. 12
The following is a GGA-PBE calculation of an optimized crystal structure of Eu2Si3Ni8, from the Alexandria database.

```
Eu2Si3Ni8
1.0
9.954 0.000 0.000
0.000 9.954 0.000
0.000 0.000 7.484
Eu Si Ni
8 12 32
direct
0.046 0.750 0.106
0.250 0.546 0.394
0.250 0.954 0.394
0.454 0.750 0.106
0.546 0.250 0.894
0.750 0.046 0.606
0.750 0.454 0.606
0.954 0.250 0.894
0.043 0.543 0.750
0.043 0.957 0.750
0.250 0.250 0.016
0.250 0.250 0.516
0.457 0.543 0.750
0.457 0.957 0.750
0.543 0.043 0.250
0.543 0.457 0.250
0.750 0.750 0.484
0.750 0.750 0.984
0.957 0.043 0.250
0.957 0.457 0.250
0.043 0.123 0.534
0.043 0.377 0.534
0.114 0.250 0.260
0.122 0.750 0.646
0.123 0.043 0.034
0.123 0.457 0.034
0.250 0.114 0.760
0.250 0.386 0.760
0.250 0.622 0.854
0.250 0.878 0.854
0.377 0.043 0.034
0.377 0.457 0.034
0.378 0.750 0.646
0.386 0.250 0.260
0.457 0.123 0.534
0.457 0.377 0.534
0.543 0.623 0.466
0.543 0.877 0.466
0.614 0.750 0.740
0.622 0.250 0.354
0.623 0.543 0.966
0.623 0.957 0.966
0.750 0.122 0.146
0.750 0.378 0.146
0.750 0.614 0.240
0.750 0.886 0.240
0.877 0.543 0.966
0.877 0.957 0.966
0.878 0.250 0.354
0.886 0.750 0.740
0.957 0.623 0.466
0.957 0.877 0.466
```

Computed properties:
Uncorrected energy = -6.93 eV/atom
Crystal system = tetragonal
Density of states at the Fermi level = 20.28 states/eV/f.u.
Formation energy without anion corrections = -7.0 eV per formula unit
Polymorph energy (0 for the lowest one) = 0.000 eV per atom

---

No. 13
The following is a GGA-PBE calculation of an optimized crystal structure of Eu2Si3Ni8, from the Alexandria database.

```
Eu2Si3Ni8
1.0
10.374 0.000 0.000
0.000 10.374 0.000
0.000 0.000 7.289
Eu Si Ni
8 12 32
direct
0.004 0.250 0.120
0.250 0.004 0.620
0.250 0.496 0.620
0.496 0.250 0.120
0.504 0.750 0.880
0.750 0.504 0.380
0.750 0.996 0.380
0.996 0.750 0.880
0.032 0.532 0.250
0.032 0.968 0.250
0.250 0.750 0.027
0.250 0.750 0.473
0.468 0.532 0.250
0.468 0.968 0.250
0.532 0.032 0.750
0.532 0.468 0.750
0.750 0.250 0.527
0.750 0.250 0.973
0.968 0.032 0.750
0.968 0.468 0.750
0.032 0.129 0.478
0.032 0.371 0.478
0.087 0.750 0.278
0.129 0.032 0.978
0.129 0.468 0.978
0.135 0.250 0.762
0.250 0.135 0.262
0.250 0.365 0.262
0.250 0.587 0.222
0.250 0.913 0.222
0.365 0.250 0.762
0.371 0.032 0.978
0.371 0.468 0.978
0.413 0.750 0.278
0.468 0.129 0.478
0.468 0.371 0.478
0.532 0.629 0.522
0.532 0.871 0.522
0.587 0.250 0.722
0.629 0.532 0.022
0.629 0.968 0.022
0.635 0.750 0.238
0.750 0.087 0.778
0.750 0.413 0.778
0.750 0.635 0.738
0.750 0.865 0.738
0.865 0.750 0.238
0.871 0.532 0.022
0.871 0.968 0.022
0.913 0.250 0.722
0.968 0.629 0.522
0.968 0.871 0.522
```

Computed properties:
Uncorrected energy = -6.61 eV/atom
Crystal system = tetragonal
Density of states at the Fermi level = 25.40 states/eV/f.u.
Formation energy without anion corrections = -2.8 eV per formula unit
Polymorph energy (0 for the lowest one) = 0.319 eV per atom